Here is LaAl8Cr4 after structural relaxation from Alexandria via LeMat-Bulk. Energies are from PBEsol.

Results
Energy of formation (eV per atom): -0.163
Calculated density (g/cm3): 4.6
M_tot (Bohr magnetons per cell): 4.97
D(E_F) (states/eV per cell): 19.182

Cell and atoms, written as CIF:
```
data_LaAl8Cr4
_symmetry_space_group_name_H-M 'I 4/m m m'
_symmetry_Int_Tables_number 139
_symmetry_space_group_name_Hall '-I 4 2'
_cell_length_a 8.984
_cell_length_b 8.984
_cell_length_c 4.982
_cell_angle_alpha 90.00
_cell_angle_beta 90.00
_cell_angle_gamma 90.00
loop_
_atom_site_label
_atom_site_fract_x
_atom_site_fract_y
_atom_site_fract_z
_atom_site_occupancy
La1 0.000 0.000 0.000 1
Al1 0.000 0.228 0.500 1
Al2 0.000 0.342 0.000 1
Cr1 0.250 0.250 0.250 1
```

---

Here is La2Te2Cl after structural relaxation from Alexandria via LeMat-Bulk. Energies are from PBEsol.

Results
Calculated density (g/cm3): 6.4
M_tot (Bohr magnetons per cell): 0.00
Energy relative to the elements, uncorrected (meV per atom): -1776
D(E_F) (states/eV per cell): 2.792

Cell and atoms, written as CIF:
```
data_La2Te2Cl
_symmetry_space_group_name_H-M 'P 4/m b m'
_symmetry_Int_Tables_number 127
_symmetry_space_group_name_Hall '-P 4 2ab'
_cell_length_a 8.300
_cell_length_b 8.300
_cell_length_c 4.287
_cell_angle_alpha 90.00
_cell_angle_beta 90.00
_cell_angle_gamma 90.00
loop_
_atom_site_label
_atom_site_fract_x
_atom_site_fract_y
_atom_site_fract_z
_atom_site_occupancy
La1 0.158 0.342 0.000 1
Te1 0.145 0.645 0.500 1
Cl1 0.000 0.000 0.000 1
```

---

Here is YHoO3 after structural relaxation from Alexandria via LeMat-Bulk. Energies are from PBEsol.

Results
Calculated density (g/cm3): 6.9
M_tot (Bohr magnetons per cell): 0.00
Energy relative to the elements, uncorrected (meV per atom): -3555
D(E_F) (states/eV per cell): 0.000

Cell and atoms, written as CIF:
```
data_YHoO3
_symmetry_space_group_name_H-M 'P 63 c m'
_symmetry_Int_Tables_number 185
_symmetry_space_group_name_Hall 'P 6c -2'
_cell_length_a 6.3356
_cell_length_b 6.3356
_cell_length_c 12.5531
_cell_angle_alpha 90.00
_cell_angle_beta 90.00
_cell_angle_gamma 120.00
loop_
_atom_site_label
_atom_site_fract_x
_atom_site_fract_y
_atom_site_fract_z
_atom_site_occupancy
Y1 0.0000 0.0000 0.0000 1
Y2 0.3333 0.6667 0.0343 1
Ho1 0.0000 0.3331 0.2690 1
O1 0.0000 0.0000 0.3046 1
O2 0.0000 0.3046 0.0949 1
O3 0.0000 0.3654 0.4414 1
O4 0.3333 0.6667 0.2391 1
```

---

Here is TlAs2CBr after structural relaxation from Alexandria via LeMat-Bulk. Energies are from PBEsol.

Results
Calculated density (g/cm3): 5.9
M_tot (Bohr magnetons per cell): 0.00
Energy relative to the elements, uncorrected (meV per atom): 870
D(E_F) (states/eV per cell): 3.022

Cell and atoms, written as CIF:
```
data_TlAs2CBr
_symmetry_space_group_name_H-M 'P 4/m m m'
_symmetry_Int_Tables_number 123
_symmetry_space_group_name_Hall '-P 4 2'
_cell_length_a 4.207
_cell_length_b 4.207
_cell_length_c 7.115
_cell_angle_alpha 90.00
_cell_angle_beta 90.00
_cell_angle_gamma 90.00
loop_
_atom_site_label
_atom_site_fract_x
_atom_site_fract_y
_atom_site_fract_z
_atom_site_occupancy
Tl1 0.000 0.000 0.000 1
As1 0.000 0.500 0.500 1
C1 0.500 0.500 0.500 1
Br1 0.500 0.500 0.000 1
```

---

Here is Cd3Hg5 after structural relaxation from Alexandria via LeMat-Bulk. Energies are from PBEsol.

Results
Energy of formation (eV per atom): 0.002
Calculated density (g/cm3): 12.7
M_tot (Bohr magnetons per cell): 0.00
D(E_F) (states/eV per cell): 4.785
Offset from the most stable computed form (eV per formula unit): 0.000

Cell and atoms, written as CIF:
```
data_Cd3Hg5
_symmetry_space_group_name_H-M 'C m m m'
_symmetry_Int_Tables_number 65
_symmetry_space_group_name_Hall '-C 2 2'
_cell_length_a 8.748
_cell_length_b 8.961
_cell_length_c 4.461
_cell_angle_alpha 90.00
_cell_angle_beta 90.00
_cell_angle_gamma 90.00
loop_
_atom_site_label
_atom_site_fract_x
_atom_site_fract_y
_atom_site_fract_z
_atom_site_occupancy
Cd1 0.000 0.000 0.000 1
Cd2 0.000 0.260 0.500 1
Hg1 0.000 0.500 0.000 1
Hg2 0.237 0.000 0.500 1
Hg3 0.250 0.250 0.000 1
```

---

Here is Mo3AsOs after structural relaxation from Alexandria via LeMat-Bulk. Energies are from PBEsol.

Results
Energy of formation (eV per atom): 1.533
Calculated density (g/cm3): 10.4
M_tot (Bohr magnetons per cell): 0.00
D(E_F) (states/eV per cell): 5.586

Cell and atoms, written as CIF:
```
data_Mo3AsOs
_symmetry_space_group_name_H-M 'P m -3 m'
_symmetry_Int_Tables_number 221
_symmetry_space_group_name_Hall '-P 4 2 3'
_cell_length_a 4.456
_cell_length_b 4.456
_cell_length_c 4.456
_cell_angle_alpha 90.00
_cell_angle_beta 90.00
_cell_angle_gamma 90.00
loop_
_atom_site_label
_atom_site_fract_x
_atom_site_fract_y
_atom_site_fract_z
_atom_site_occupancy
Mo1 0.000 0.000 0.500 1
As1 0.000 0.000 0.000 1
Os1 0.500 0.500 0.500 1
```

---

Here is KLa4Rh after structural relaxation from Alexandria via LeMat-Bulk. Energies are from PBEsol.

Results
Energy of formation (eV per atom): 0.709
Calculated density (g/cm3): 6.3
M_tot (Bohr magnetons per cell): 0.00
D(E_F) (states/eV per cell): 45.481

Cell and atoms, written as CIF:
```
data_KLa4Rh
_symmetry_space_group_name_H-M 'F -4 3 m'
_symmetry_Int_Tables_number 216
_symmetry_space_group_name_Hall 'F -4 2 3'
_cell_length_a 9.047
_cell_length_b 9.047
_cell_length_c 9.047
_cell_angle_alpha 90.00
_cell_angle_beta 90.00
_cell_angle_gamma 90.00
loop_
_atom_site_label
_atom_site_fract_x
_atom_site_fract_y
_atom_site_fract_z
_atom_site_occupancy
K1 0.000 0.000 0.000 1
La1 0.120 0.120 0.380 1
Rh1 0.250 0.250 0.750 1
```

---

Here is K2Te after structural relaxation from Alexandria via LeMat-Bulk. Energies are from PBEsol.

Results
Calculated density (g/cm3): 2.9
M_tot (Bohr magnetons per cell): 0.00
Energy relative to the elements, uncorrected (meV per atom): -988
D(E_F) (states/eV per cell): 0.000

Cell and atoms, written as CIF:
```
data_K2Te
_symmetry_space_group_name_H-M 'P -6 2 m'
_symmetry_Int_Tables_number 189
_symmetry_space_group_name_Hall 'P -6 -2'
_cell_length_a 8.9530
_cell_length_b 8.9530
_cell_length_c 5.1090
_cell_angle_alpha 90.00
_cell_angle_beta 90.00
_cell_angle_gamma 120.00
loop_
_atom_site_label
_atom_site_fract_x
_atom_site_fract_y
_atom_site_fract_z
_atom_site_occupancy
K1 0.0000 0.4160 0.0000 1
K2 0.0000 0.7434 0.5000 1
Te1 0.0000 0.0000 0.0000 1
Te2 0.3333 0.6667 0.5000 1
```